Crystalline NdCr2SbO6 at its relaxed geometry, computed with PBE+U.

Cell lengths 5.521, 5.553, 5.554 Å; angles 60.39, 60.68, 60.46 degrees
Space group P1 (No. 1)
Symmetry-distinct sites (fractional):
Nd 0.000 0.000 0.000 (multiplicity 1)
Cr 0.229 0.260 0.231 (multiplicity 1)
Cr 0.737 0.771 0.732 (multiplicity 1)
Sb 0.506 0.538 0.536 (multiplicity 1)
O 0.060 0.557 0.901 (multiplicity 1)
O 0.408 0.962 0.553 (multiplicity 1)
O 0.446 0.955 0.038 (multiplicity 1)
O 0.571 0.425 0.941 (multiplicity 1)
O 0.896 0.099 0.452 (multiplicity 1)
O 0.950 0.578 0.418 (multiplicity 1)

magnetic moment: 6.00 μB/cell
total energy: -7.478 eV/atom
Fermi-level density of states: 0.00 states/eV/f.u.
calculated volume: 12.2 A^3/atom